# Pm6Y5Er | Alexandria via LeMat-Bulk | GGA-PBE | optimized geometry
# Spin magnetization   0.00 μB/f.u.
# Space group   C2/m
# Calculated total energy   -5.4377 eV per atom
# Formation enthalpy at 0 K   0.13 eV/f.u.
# Calculated volume   32.99 Å³/atom
data_Pm6Y5Er
_chemical_formula_sum 'Pm6 Y5 Er1'
_cell_length_a 11.8544
_cell_length_b 6.2593
_cell_length_c 6.2581
_cell_angle_alpha 59.99
_cell_angle_beta 84.97
_cell_angle_gamma 79.90
_symmetry_space_group_name_H-M 'P 1'
_symmetry_Int_Tables_number 1
_symmetry_space_group_name_Hall 'P 1'
loop_
_atom_site_label
_atom_site_type_symbol
_atom_site_fract_x
_atom_site_fract_y
_atom_site_fract_z
Pm1 Pm 0.2494 0.9172 0.6677
Pm2 Pm 0.7506 0.0828 0.3323
Pm3 Pm 0.7506 0.4151 0.6677
Pm4 Pm 0.7506 0.7504 0.0000
Pm5 Pm 0.2494 0.2496 0.0000
Pm6 Pm 0.2494 0.5849 0.3323
Y1 Y 0.0000 0.6666 0.6667
Y2 Y 0.5000 0.1666 0.6668
Y3 Y 0.5000 0.8334 0.3332
Y4 Y 0.0000 0.3334 0.3333
Y5 Y 0.5000 0.5000 0.0000
Er1 Er 0.0000 0.0000 0.0000